Material: Li5Mn2CoO8
Method: DFT, GGA+U
State: relaxed

Properties
**Calculated volume**: 8.72 A^3/atom
**DFT total energy**: -96.3 eV/f.u.

Lattice parameters (Å, degrees): 4.9748 5.1256 5.8463 107.94 89.20 100.02
With the nearest neighbours (Å) after each atom.
Atoms (fractional coordinates):
Li  0.7575  0.4970  0.6212  4 O 2.01-2.17
Li  0.2482  0.4932  0.8633  6 O 2.07-2.22
Li  0.9992  0.0032  0.5018  6 O 2.03-2.12
Li  0.7590  0.5009  0.1284  6 O 2.06-2.18
Li  0.2431  0.5051  0.3876  6 O 2.03-2.25
O  0.8628  0.2127  0.8230  1 Mn 1.93, 1 Co 1.95, 3 Li 2.03-2.15
O  0.3668  0.2160  0.0554  2 Mn 1.95-2.03, 1 Co 1.97, 1 Li 2.18
O  0.1394  0.7789  0.1773  2 Mn 1.93-1.96, 3 Li 2.07-2.13
O  0.8625  0.2282  0.2929  2 Mn 1.95, 4 Li 2.06-2.13
O  0.1370  0.7711  0.7066  1 Co 1.93, 1 Mn 1.94, 4 Li 2.07-2.12
O  0.6005  0.7812  0.4372  1 Mn 1.89, 1 Co 1.93, 2 Li 2.03-2.08
O  0.6423  0.7685  0.9587  2 Mn 1.92-1.99, 1 Li 2.08
O  0.3913  0.2429  0.5456  1 Mn 1.89, 4 Li 2.01-2.10, 1 Co 2.05
Co  0.4928  0.0024  0.7435  5 O 1.93-2.05
Mn  0.4994  0.0022  0.2579  6 O 1.89-2.03
Mn  0.9982  0.9965  0.9996  6 O 1.92-1.96